YSiGe2As: optimized geometry, PBEsol.

Unit cell a=5.2272 b=5.2674 c=5.2674 alpha=90.00 beta=90.00 gamma=90.00
Last column: nearest neighbours and their distance in Å.
Positions (direct):
Y 0.0000 0.0000 0.0000  2 As 2.61, 4 Ge 2.63
As 0.5000 0.0000 0.0000  2 Y 2.61
Si 0.5000 0.5000 0.5000  8 Ge 3.71, 4 As 3.72
Ge 0.0000 0.0000 0.5000  2 Y 2.63
Ge 0.0000 0.5000 0.0000  2 Y 2.63

The uncorrected formation energy is 95.4 kJ/mol of atoms. The crystal system is tetragonal.

---

Cu2GeS4: optimized geometry, PBEsol.

Unit cell a=5.0301 b=5.0301 c=6.2250 alpha=113.83 beta=113.83 gamma=90.00
Last column: nearest neighbours and their distance in Å.
Positions (direct):
Ge 0.5000 0.5000 0.0000  4 S 2.24
S 0.1164 0.1164 0.7619  2 Cu 2.23, 1 Ge 2.24
S 0.8836 0.3546 0.2381  2 Cu 2.23, 1 Ge 2.24
S 0.6454 0.6454 0.7619  2 Cu 2.23, 1 Ge 2.24
S 0.3546 0.8836 0.2381  2 Cu 2.23, 1 Ge 2.24
Cu 0.7500 0.2500 0.5000  4 S 2.23
Cu 0.2500 0.7500 0.5000  4 S 2.23

The uncorrected formation energy is -22.1 kJ/mol of atoms. The crystal system is tetragonal.

---

LaW2Cl: optimized geometry, PBEsol.

Unit cell a=2.8386 b=5.3467 c=5.4619 alpha=90.00 beta=90.00 gamma=90.00
Last column: nearest neighbours and their distance in Å.
Positions (direct):
Cl 0.5000 0.5000 0.5000  2 La 2.67, 2 Cl 2.84
W 0.0000 0.7707 0.0000  1 W 2.45
W 0.0000 0.2293 0.0000  1 W 2.45
La 0.5000 0.0000 0.5000  2 Cl 2.67, 2 La 2.84

The uncorrected formation energy is 83.1 kJ/mol of atoms. The energy above the most stable polymorph in this dataset comes out at 0.6384 eV/atom. The crystal system is orthorhombic.

---

Sc3AgO: optimized geometry, PBEsol.

Unit cell a=5.0371 b=5.0371 c=5.0371 alpha=90.00 beta=90.00 gamma=90.00
Last column: nearest neighbours and their distance in Å.
Positions (direct):
Sc 0.0000 0.5000 0.0000  2 Ag 2.52
Sc 0.0000 0.0000 0.5000  2 Ag 2.52
Sc 0.5000 0.0000 0.0000  2 Ag 2.52
O 0.5000 0.5000 0.5000  12 Sc 3.56
Ag 0.0000 0.0000 0.0000  6 Sc 2.52

The uncorrected formation energy is 56.9 kJ/mol of atoms. The energy above the most stable polymorph in this dataset comes out at 1.9896 eV/atom. The crystal system is cubic.

---

Zn3Ag: optimized geometry, PBEsol.

Unit cell a=2.7203 b=5.0634 c=5.0634 alpha=116.87 beta=100.32 gamma=100.32
Last column: nearest neighbours and their distance in Å.
Positions (direct):
Zn 0.0000 0.5000 0.5000  6 Zn 2.65-2.72, 2 Ag 2.65
Zn 0.5000 0.0000 0.5000  2 Ag 2.65, 6 Zn 2.65-2.72
Zn 0.5000 0.5000 0.0000  6 Zn 2.65-2.72, 2 Ag 2.65
Ag 0.0000 0.0000 0.0000  6 Zn 2.65, 2 Ag 2.72

Its calculated formation energy is 0.008 eV per atom. The crystal system is trigonal.

---

ScCrN2F: optimized geometry, PBEsol.

Unit cell a=3.6780 b=3.7264 c=3.7264 alpha=90.00 beta=90.00 gamma=90.00
Last column: nearest neighbours and their distance in Å.
Positions (direct):
Sc 0.5000 0.5000 0.5000  8 N 2.62, 4 F 2.63
Cr 0.0000 0.0000 0.0000  2 F 1.84, 4 N 1.86
N 0.0000 0.0000 0.5000  2 Cr 1.86
N 0.0000 0.5000 0.0000  2 Cr 1.86
F 0.5000 0.0000 0.0000  2 Cr 1.84

The uncorrected formation energy is -102.1 kJ/mol of atoms. The crystal system is tetragonal.

---

Please write out number 1 again, unchanged.
YSiGe2As: optimized geometry, PBEsol.

Unit cell a=5.2272 b=5.2674 c=5.2674 alpha=90.00 beta=90.00 gamma=90.00
Last column: nearest neighbours and their distance in Å.
Positions (direct):
Y 0.0000 0.0000 0.0000  2 As 2.61, 4 Ge 2.63
As 0.5000 0.0000 0.0000  2 Y 2.61
Si 0.5000 0.5000 0.5000  8 Ge 3.71, 4 As 3.72
Ge 0.0000 0.0000 0.5000  2 Y 2.63
Ge 0.0000 0.5000 0.0000  2 Y 2.63

The uncorrected formation energy is 95.4 kJ/mol of atoms. The crystal system is tetragonal.